Material: KPtF
Method: DFT, PBE-GGA
State: optimized geometry

Properties
Space-group type: Pnma, No. 62
Total energy, eV/atom: -4.180

Geometry as CIF:
```
data_KPtF
_chemical_formula_sum 'K4 Pt4 F4'
_symmetry_space_group_name_H-M 'P 1'
_symmetry_Int_Tables_number 1
_cell_length_a 12.019
_cell_length_b 3.013
_cell_length_c 7.146
_cell_angle_alpha 90.00
_cell_angle_beta 90.00
_cell_angle_gamma 90.00
loop_
_symmetry_equiv_pos_as_xyz
'x,y,z'
loop_
_atom_site_label
_atom_site_fract_x
_atom_site_fract_y
_atom_site_fract_z
_atom_site_occupancy
K1 0.174 0.250 0.188 1
K2 0.326 0.750 0.688 1
K3 0.674 0.250 0.312 1
K4 0.826 0.750 0.812 1
Pt1 0.053 0.250 0.611 1
Pt2 0.447 0.750 0.111 1
Pt3 0.553 0.250 0.889 1
Pt4 0.947 0.750 0.389 1
F1 0.174 0.250 0.833 1
F2 0.326 0.750 0.333 1
F3 0.674 0.250 0.667 1
F4 0.826 0.750 0.167 1
```

---

Material: K6PtF12
Method: DFT, PBE-GGA
State: optimized geometry

Properties
Space-group type: R-3, No. 148
Total energy, eV/atom: -4.021

Geometry as CIF:
```
data_K6PtF12
_chemical_formula_sum 'K6 Pt1 F12'
_symmetry_space_group_name_H-M 'P 1'
_symmetry_Int_Tables_number 1
_cell_length_a 7.385
_cell_length_b 7.385
_cell_length_c 7.385
_cell_angle_alpha 98.72
_cell_angle_beta 98.72
_cell_angle_gamma 98.72
loop_
_symmetry_equiv_pos_as_xyz
'x,y,z'
loop_
_atom_site_label
_atom_site_fract_x
_atom_site_fract_y
_atom_site_fract_z
_atom_site_occupancy
K1 0.107 0.657 0.790 1
K2 0.210 0.893 0.343 1
K3 0.343 0.210 0.893 1
K4 0.657 0.790 0.107 1
K5 0.790 0.107 0.657 1
K6 0.893 0.343 0.210 1
Pt1 0.500 0.500 0.500 1
F1 0.041 0.346 0.912 1
F2 0.088 0.959 0.654 1
F3 0.234 0.514 0.447 1
F4 0.346 0.912 0.041 1
F5 0.447 0.234 0.514 1
F6 0.486 0.553 0.766 1
F7 0.514 0.447 0.234 1
F8 0.553 0.766 0.486 1
F9 0.654 0.088 0.959 1
F10 0.766 0.486 0.553 1
F11 0.912 0.041 0.346 1
F12 0.959 0.654 0.088 1
```

---

Material: KPtF
Method: DFT, PBE-GGA
State: optimized geometry

Properties
Space-group type: P-6m2, No. 187
Total energy, eV/atom: -3.356

Geometry as CIF:
```
data_KPtF
_chemical_formula_sum 'K1 Pt1 F1'
_symmetry_space_group_name_H-M 'P 1'
_symmetry_Int_Tables_number 1
_cell_length_a 4.092
_cell_length_b 4.092
_cell_length_c 4.610
_cell_angle_alpha 90.00
_cell_angle_beta 90.00
_cell_angle_gamma 120.00
loop_
_symmetry_equiv_pos_as_xyz
'x,y,z'
loop_
_atom_site_label
_atom_site_fract_x
_atom_site_fract_y
_atom_site_fract_z
_atom_site_occupancy
K1 0.000 0.000 0.000 1
Pt1 0.667 0.333 0.500 1
F1 0.333 0.667 0.500 1
```

---

Material: KPtF
Method: DFT, PBE-GGA
State: optimized geometry

Properties
Space-group type: C2/m, No. 12
Total energy, eV/atom: -4.183

Geometry as CIF:
```
data_KPtF
_chemical_formula_sum 'K2 Pt2 F2'
_symmetry_space_group_name_H-M 'P 1'
_symmetry_Int_Tables_number 1
_cell_length_a 7.086
_cell_length_b 7.086
_cell_length_c 6.207
_cell_angle_alpha 91.81
_cell_angle_beta 91.81
_cell_angle_gamma 24.00
loop_
_symmetry_equiv_pos_as_xyz
'x,y,z'
loop_
_atom_site_label
_atom_site_fract_x
_atom_site_fract_y
_atom_site_fract_z
_atom_site_occupancy
K1 0.093 0.093 0.329 1
K2 0.907 0.907 0.671 1
Pt1 0.310 0.310 0.108 1
Pt2 0.690 0.690 0.892 1
F1 0.434 0.434 0.325 1
F2 0.566 0.566 0.675 1
```

---

Material: K12Pt3F5
Method: DFT, PBE-GGA
State: optimized geometry

Properties
Space-group type: Ia-3d, No. 230
Total energy, eV/atom: -3.338

Geometry as CIF:
```
data_K12Pt3F5
_chemical_formula_sum 'K48 Pt12 F20'
_symmetry_space_group_name_H-M 'P 1'
_symmetry_Int_Tables_number 1
_cell_length_a 14.803
_cell_length_b 14.803
_cell_length_c 14.803
_cell_angle_alpha 109.47
_cell_angle_beta 109.47
_cell_angle_gamma 109.47
loop_
_symmetry_equiv_pos_as_xyz
'x,y,z'
loop_
_atom_site_label
_atom_site_fract_x
_atom_site_fract_y
_atom_site_fract_z
_atom_site_occupancy
K1 0.029 0.207 0.125 1
K2 0.029 0.322 0.904 1
K3 0.082 0.707 0.678 1
K4 0.082 0.875 0.404 1
K5 0.096 0.625 0.418 1
K6 0.096 0.971 0.678 1
K7 0.125 0.029 0.207 1
K8 0.125 0.596 0.918 1
K9 0.178 0.207 0.582 1
K10 0.178 0.471 0.596 1
K11 0.207 0.125 0.029 1
K12 0.207 0.582 0.178 1
K13 0.293 0.322 0.918 1
K14 0.293 0.471 0.375 1
K15 0.322 0.904 0.029 1
K16 0.322 0.918 0.293 1
K17 0.375 0.293 0.471 1
K18 0.375 0.582 0.904 1
K19 0.404 0.082 0.875 1
K20 0.404 0.822 0.529 1
K21 0.418 0.096 0.625 1
K22 0.418 0.822 0.793 1
K23 0.471 0.375 0.293 1
K24 0.471 0.596 0.178 1
K25 0.529 0.404 0.822 1
K26 0.529 0.625 0.707 1
K27 0.582 0.178 0.207 1
K28 0.582 0.904 0.375 1
K29 0.596 0.178 0.471 1
K30 0.596 0.918 0.125 1
K31 0.625 0.418 0.096 1
K32 0.625 0.707 0.529 1
K33 0.678 0.082 0.707 1
K34 0.678 0.096 0.971 1
K35 0.707 0.529 0.625 1
K36 0.707 0.678 0.082 1
K37 0.793 0.418 0.822 1
K38 0.793 0.875 0.971 1
K39 0.822 0.529 0.404 1
K40 0.822 0.793 0.418 1
K41 0.875 0.404 0.082 1
K42 0.875 0.971 0.793 1
K43 0.904 0.029 0.322 1
K44 0.904 0.375 0.582 1
K45 0.918 0.125 0.596 1
K46 0.918 0.293 0.322 1
K47 0.971 0.678 0.096 1
K48 0.971 0.793 0.875 1
Pt1 0.125 0.250 0.375 1
Pt2 0.125 0.375 0.750 1
Pt3 0.250 0.375 0.125 1
Pt4 0.250 0.875 0.625 1
Pt5 0.375 0.125 0.250 1
Pt6 0.375 0.750 0.125 1
Pt7 0.625 0.250 0.875 1
Pt8 0.625 0.875 0.750 1
Pt9 0.750 0.125 0.375 1
Pt10 0.750 0.625 0.875 1
Pt11 0.875 0.625 0.250 1
Pt12 0.875 0.750 0.625 1
F1 0.000 0.000 0.000 1
F2 0.000 0.000 0.500 1
F3 0.000 0.500 0.000 1
F4 0.000 0.500 0.500 1
F5 0.125 0.750 0.875 1
F6 0.125 0.875 0.250 1
F7 0.250 0.125 0.875 1
F8 0.250 0.625 0.375 1
F9 0.375 0.250 0.625 1
F10 0.375 0.625 0.750 1
F11 0.500 0.000 0.000 1
F12 0.500 0.000 0.500 1
F13 0.500 0.500 0.000 1
F14 0.500 0.500 0.500 1
F15 0.625 0.375 0.250 1
F16 0.625 0.750 0.375 1
F17 0.750 0.375 0.625 1
F18 0.750 0.875 0.125 1
F19 0.875 0.125 0.750 1
F20 0.875 0.250 0.125 1
```

---

Material: KPtF
Method: DFT, PBE-GGA
State: optimized geometry

Properties
Space-group type: P6_3/mmc, No. 194
Total energy, eV/atom: -3.353

Geometry as CIF:
```
data_KPtF
_chemical_formula_sum 'K2 Pt2 F2'
_symmetry_space_group_name_H-M 'P 1'
_symmetry_Int_Tables_number 1
_cell_length_a 4.081
_cell_length_b 4.081
_cell_length_c 9.306
_cell_angle_alpha 90.00
_cell_angle_beta 90.00
_cell_angle_gamma 120.00
loop_
_symmetry_equiv_pos_as_xyz
'x,y,z'
loop_
_atom_site_label
_atom_site_fract_x
_atom_site_fract_y
_atom_site_fract_z
_atom_site_occupancy
K1 0.000 0.000 0.000 1
K2 0.000 0.000 0.500 1
Pt1 0.333 0.667 0.250 1
Pt2 0.667 0.333 0.750 1
F1 0.333 0.667 0.750 1
F2 0.667 0.333 0.250 1
```

---

Material: KPtF
Method: DFT, PBE-GGA
State: optimized geometry

Properties
Space-group type: Imma, No. 74
Total energy, eV/atom: -4.186

Geometry as CIF:
```
data_KPtF
_chemical_formula_sum 'K2 Pt2 F2'
_symmetry_space_group_name_H-M 'P 1'
_symmetry_Int_Tables_number 1
_cell_length_a 8.817
_cell_length_b 8.817
_cell_length_c 8.817
_cell_angle_alpha 160.67
_cell_angle_beta 148.36
_cell_angle_gamma 37.35
loop_
_symmetry_equiv_pos_as_xyz
'x,y,z'
loop_
_atom_site_label
_atom_site_fract_x
_atom_site_fract_y
_atom_site_fract_z
_atom_site_occupancy
K1 0.330 0.080 0.250 1
K2 0.670 0.920 0.750 1
Pt1 0.061 0.311 0.750 1
Pt2 0.939 0.689 0.250 1
F1 0.193 0.443 0.750 1
F2 0.807 0.557 0.250 1
```

---

Material: KPtF5
Method: DFT, PBE-GGA
State: optimized geometry

Properties
Space-group type: C2/c, No. 15
Total energy, eV/atom: -4.156

Geometry as CIF:
```
data_KPtF5
_chemical_formula_sum 'K2 Pt2 F10'
_symmetry_space_group_name_H-M 'P 1'
_symmetry_Int_Tables_number 1
_cell_length_a 6.073
_cell_length_b 6.073
_cell_length_c 7.639
_cell_angle_alpha 106.11
_cell_angle_beta 106.11
_cell_angle_gamma 76.19
loop_
_symmetry_equiv_pos_as_xyz
'x,y,z'
loop_
_atom_site_label
_atom_site_fract_x
_atom_site_fract_y
_atom_site_fract_z
_atom_site_occupancy
K1 0.028 0.972 0.750 1
K2 0.972 0.028 0.250 1
Pt1 0.500 0.500 0.000 1
Pt2 0.500 0.500 0.500 1
F1 0.200 0.703 0.024 1
F2 0.225 0.351 0.387 1
F3 0.297 0.800 0.476 1
F4 0.351 0.225 0.887 1
F5 0.414 0.586 0.750 1
F6 0.586 0.414 0.250 1
F7 0.649 0.775 0.113 1
F8 0.703 0.200 0.524 1
F9 0.775 0.649 0.613 1
F10 0.800 0.297 0.976 1
```

---

Material: K3PtF7
Method: DFT, PBE-GGA
State: optimized geometry

Properties
Space-group type: P4/mbm, No. 127
Total energy, eV/atom: -4.282

Geometry as CIF:
```
data_K3PtF7
_chemical_formula_sum 'K6 Pt2 F14'
_symmetry_space_group_name_H-M 'P 1'
_symmetry_Int_Tables_number 1
_cell_length_a 8.041
_cell_length_b 8.041
_cell_length_c 5.865
_cell_angle_alpha 90.00
_cell_angle_beta 90.00
_cell_angle_gamma 90.00
loop_
_symmetry_equiv_pos_as_xyz
'x,y,z'
loop_
_atom_site_label
_atom_site_fract_x
_atom_site_fract_y
_atom_site_fract_z
_atom_site_occupancy
K1 0.000 0.000 0.000 1
K2 0.188 0.312 0.500 1
K3 0.312 0.812 0.500 1
K4 0.500 0.500 0.000 1
K5 0.688 0.188 0.500 1
K6 0.812 0.688 0.500 1
Pt1 0.000 0.500 0.000 1
Pt2 0.500 0.000 0.000 1
F1 0.000 0.000 0.500 1
F2 0.117 0.617 0.248 1
F3 0.117 0.617 0.752 1
F4 0.174 0.326 0.000 1
F5 0.326 0.826 0.000 1
F6 0.383 0.117 0.248 1
F7 0.383 0.117 0.752 1
F8 0.500 0.500 0.500 1
F9 0.617 0.883 0.248 1
F10 0.617 0.883 0.752 1
F11 0.674 0.174 0.000 1
F12 0.826 0.674 0.000 1
F13 0.883 0.383 0.248 1
F14 0.883 0.383 0.752 1
```